(1)
Material: HPdF3
Method: DFT, PBE
State: relaxed

a b c (Å): 3.5457 3.5457 3.5457
angles (deg): 90.00 90.00 90.00
Closest atoms and distances in Å follow each position.
Space group Pm-3m (No. 221)
Inequivalent atoms, fractional coordinates:
H1 0.0000 0.0000 0.0000  6 F 1.77
Pd1 0.5000 0.5000 0.5000  12 F 2.51
F1 0.0000 0.0000 0.5000  2 H 1.77

Final energy   -3.297 eV per atom
ΔE to the lowest computed polymorph   57.3 meV/atom
Spin magnetization   2.00 μB/cell

---

(2)
Material: BeIn2Se4
Method: DFT, PBE
State: relaxed

a b c (Å): 6.1678 6.1678 5.9041
angles (deg): 90.00 90.00 90.00
Closest atoms and distances in Å follow each position.
Space group P-42m (No. 111)
Inequivalent atoms, fractional coordinates:
Be1 0.0000 0.0000 0.0000  4 Se 2.32
In1 0.0000 0.5000 0.0000  4 Se 2.63
Se1 0.2089 0.2089 0.2426  1 Be 2.32

Final energy   -3.819 eV per atom
Spin magnetization   0.00 μB/cell
E_form (uncorrected)   -0.5131 eV per atom

---

(3)
Material: SrAl2CN
Method: DFT, PBE
State: relaxed

a b c (Å): 3.8200 3.8200 6.8538
angles (deg): 90.00 90.00 90.00
Closest atoms and distances in Å follow each position.
Space group P4/mmm (No. 123)
Inequivalent atoms, fractional coordinates:
Sr1 0.0000 0.0000 0.0000  4 N 2.70
Al1 0.0000 0.5000 0.5000  2 C 1.91
C1 0.5000 0.5000 0.5000  4 Al 1.91
N1 0.5000 0.5000 0.0000  4 Sr 2.70

Final energy   -4.723 eV per atom
Spin magnetization   1.05 μB/cell
E_form (uncorrected)   0.6199 eV per atom

---

(4)
Material: HoLuMg4
Method: DFT, PBE
State: relaxed

a b c (Å): 8.4743 8.4743 8.4743
angles (deg): 90.00 90.00 90.00
Closest atoms and distances in Å follow each position.
Space group F-43m (No. 216)
Inequivalent atoms, fractional coordinates:
Ho1 0.0000 0.0000 0.0000  12 Mg 3.51, 4 Lu 3.67
Lu1 0.2500 0.2500 0.7500  12 Mg 3.51, 4 Ho 3.67
Mg1 0.1250 0.1250 0.3750  6 Mg 3.00

Final energy   -2.629 eV per atom
Spin magnetization   0.02 μB/cell
Calculated formation energy   -0.049 eV/atom

---

Q: Which of these has the lowest spin magnetization?
A: BeIn2Se4

---

Q: Which value of final energy does entry 1 give?
A: -3.297 eV per atom

---

Q: final energy of number 2 (BeIn2Se4)?
A: -3.819 eV per atom